No. 1
PrReSi2Os: relaxed, PBE.

Computed properties:
Space-group type ... No. 119
Total moment ... 0.00 μB/f.u.
E_form (uncorrected) ... -2.674 eV/f.u.
Calculated volume ... 17.88 Å³ per atom

abc: 4.1878 4.1878 5.8957
angles: 110.80 110.80 90.00
Last column: nearest neighbours and their distance in Å.
Fractional coordinates of all 5 atoms:
Pr1 0.0000 0.0000 0.0000  8 Si 3.24, 4 Re 3.30, 4 Os 3.30
Re1 0.2500 0.7500 0.5000  4 Si 2.43
Si1 0.6283 0.6283 0.2565  2 Re 2.43, 2 Os 2.43, 1 Si 2.62
Si2 0.3717 0.3717 0.7435  2 Os 2.43, 2 Re 2.43, 1 Si 2.62
Os1 0.7500 0.2500 0.5000  4 Si 2.43

---

No. 2
Na2HgB2Pd5: relaxed, PBE.

Computed properties:
Space-group type ... No. 127
Total moment ... 0.00 μB/f.u.
Energy of formation from the pure elements ... -23 kJ per mole of atoms
Calculated volume ... 15.39 Å³ per atom

abc: 2.9678 10.1845 10.1845
angles: 90.00 90.00 90.00
Last column: nearest neighbours and their distance in Å.
Fractional coordinates of all 20 atoms:
Na1 0.0000 0.6795 0.1795  3 B 2.87-3.12, 2 Na 2.97, 10 Pd 2.98-3.06
Na2 0.0000 0.3205 0.8205  3 B 2.87-3.12, 2 Na 2.97, 10 Pd 2.98-3.06
Na3 0.0000 0.1795 0.3205  3 B 2.87-3.12, 2 Na 2.97, 10 Pd 2.98-3.06
Na4 0.0000 0.8205 0.6795  3 B 2.87-3.12, 2 Na 2.97, 10 Pd 2.98-3.06
Hg1 0.0000 0.0000 0.0000  8 Pd 2.89, 2 Hg 2.97
Hg2 0.0000 0.5000 0.5000  8 Pd 2.89, 2 Hg 2.97
B1 0.0000 0.1214 0.6214  6 Pd 2.16-2.29
B2 0.0000 0.8786 0.3786  6 Pd 2.16-2.29
B3 0.0000 0.6214 0.8786  6 Pd 2.16-2.29
B4 0.0000 0.3786 0.1214  6 Pd 2.16-2.29
Pd1 0.5000 0.2334 0.0679  2 B 2.16
Pd2 0.5000 0.7666 0.9321  2 B 2.16
Pd3 0.5000 0.0679 0.7666  2 B 2.16
Pd4 0.5000 0.7334 0.4321  2 B 2.16
Pd5 0.5000 0.9321 0.2334  2 B 2.16
Pd6 0.5000 0.2666 0.5679  2 B 2.16
Pd7 0.5000 0.5679 0.7334  2 B 2.16
Pd8 0.5000 0.4321 0.2666  2 B 2.16
Pd9 0.5000 0.5000 0.0000  4 B 2.29
Pd10 0.5000 0.0000 0.5000  4 B 2.29

---

No. 3
BeTcSN2: relaxed, PBE.

Computed properties:
Space-group type ... No. 123
Energy above the lowest structure with this stoichiometry ... 0.415 eV/atom
Total moment ... 0.98 μB/f.u.
E_form (uncorrected) ... 5.813 eV/f.u.
Calculated volume ... 10.69 Å³ per atom

abc: 3.4722 3.4722 4.4323
angles: 90.00 90.00 90.00
Last column: nearest neighbours and their distance in Å.
Fractional coordinates of all 5 atoms:
Be1 0.0000 0.0000 0.0000  4 N 1.74
S1 0.0000 0.0000 0.5000  2 Be 2.22, 4 Tc 2.46
Tc1 0.5000 0.5000 0.5000  4 S 2.46
N1 0.0000 0.5000 0.0000  2 Be 1.74
N2 0.5000 0.0000 0.0000  2 Be 1.74

---

No. 4
Nd2Si3SnPt4: relaxed, PBE.

Computed properties:
Space-group type ... No. 115
Total moment ... 0.00 μB/f.u.
E_form (uncorrected) ... -10.045 eV/f.u.
Calculated volume ... 19.17 Å³ per atom

abc: 4.3332 4.3332 10.2095
angles: 90.00 90.00 90.00
Last column: nearest neighbours and their distance in Å.
Fractional coordinates of all 10 atoms:
Nd1 0.5000 0.0000 0.2406  8 Pt 3.28, 6 Si 3.29-3.42, 2 Sn 3.42
Nd2 0.0000 0.5000 0.7594  8 Pt 3.28, 6 Si 3.29-3.42, 2 Sn 3.42
Si1 0.0000 0.0000 0.5000  4 Pt 2.62
Si2 0.5000 0.0000 0.8773  5 Pt 2.39-2.50
Si3 0.0000 0.5000 0.1227  5 Pt 2.39-2.50
Sn1 0.5000 0.5000 0.5000  4 Pt 2.62
Pt1 0.5000 0.5000 0.0000  4 Si 2.50
Pt2 0.0000 0.0000 0.0000  4 Si 2.50
Pt3 0.5000 0.0000 0.6435  3 Si 2.39-2.62, 2 Sn 2.62
Pt4 0.0000 0.5000 0.3565  3 Si 2.39-2.62, 2 Sn 2.62

---

No. 5
Hf4NiIr3: relaxed, PBE.

Computed properties:
Space-group type ... No. 69
Total moment ... 0.00 μB/f.u.
Energy of formation from the pure elements ... -79 kJ per mole of atoms
Calculated volume ... 17.43 Å³ per atom

abc: 4.6057 4.6057 7.3364
angles: 108.32 108.32 89.93
Last column: nearest neighbours and their distance in Å.
Fractional coordinates of all 8 atoms:
Ni1 0.5000 0.0000 0.0000  8 Hf 2.81, 2 Ir 3.11
Ir1 0.0000 0.5000 0.0000  8 Hf 2.81
Ir2 0.7364 0.2364 0.4732  8 Hf 2.74-2.95
Ir3 0.2636 0.7636 0.5268  8 Hf 2.74-2.95
Hf1 0.3769 0.3769 0.7538  6 Ir 2.74-2.95, 2 Ni 2.81
Hf2 0.6231 0.6231 0.2462  6 Ir 2.74-2.95, 2 Ni 2.81
Hf3 0.1231 0.1231 0.2462  6 Ir 2.74-2.95, 2 Ni 2.81
Hf4 0.8769 0.8769 0.7538  6 Ir 2.74-2.95, 2 Ni 2.81

---

No. 6
Ac3Al2Si2Pd4: relaxed, PBE.

Computed properties:
Space-group type ... No. 164
Total moment ... 0.00 μB/f.u.
E_form (uncorrected) ... -8.366 eV/f.u.
Calculated volume ... 23.77 Å³ per atom

abc: 4.3516 4.3516 15.9464
angles: 90.00 90.00 120.00
Last column: nearest neighbours and their distance in Å.
Fractional coordinates of all 11 atoms:
Ac1 0.0000 0.0000 0.7266  6 Pd 3.26-3.32, 3 Si 3.28
Ac2 0.0000 0.0000 0.0000  6 Pd 3.33, 6 Si 3.37
Ac3 0.0000 0.0000 0.2734  6 Pd 3.26-3.32, 3 Si 3.28
Al1 0.6667 0.3333 0.4408  4 Pd 2.49-2.58
Al2 0.3333 0.6667 0.5592  4 Pd 2.49-2.58
Si1 0.6667 0.3333 0.8593  3 Pd 2.51
Si2 0.3333 0.6667 0.1407  3 Pd 2.51
Pd1 0.6667 0.3333 0.1374  3 Si 2.51
Pd2 0.3333 0.6667 0.8626  3 Si 2.51
Pd3 0.6667 0.3333 0.5966  4 Al 2.49-2.58
Pd4 0.3333 0.6667 0.4034  4 Al 2.49-2.58

---

No. 7
Hf2Nb2Re: relaxed, PBE.

Computed properties:
Space-group type ... No. 127
Energy above the lowest structure with this stoichiometry ... 0.340 eV/atom
Total moment ... 0.00 μB/f.u.
Energy of formation from the pure elements ... 20 kJ per mole of atoms
Calculated volume ... 20.36 Å³ per atom

abc: 6.6251 6.6251 4.6378
angles: 90.00 90.00 90.00
Last column: nearest neighbours and their distance in Å.
Fractional coordinates of all 10 atoms:
Re1 0.0000 0.0000 0.0000  4 Nb 2.53
Re2 0.5000 0.5000 0.0000  4 Nb 2.53
Nb1 0.3523 0.8523 0.0000  2 Re 2.53, 1 Nb 2.77
Nb2 0.8523 0.6477 0.0000  2 Re 2.53, 1 Nb 2.77
Nb3 0.6477 0.1477 0.0000  2 Re 2.53, 1 Nb 2.77
Nb4 0.1477 0.3523 0.0000  2 Re 2.53, 1 Nb 2.77
Hf1 0.1660 0.6660 0.5000  6 Nb 2.90-3.12, 1 Hf 3.11
Hf2 0.6660 0.8340 0.5000  6 Nb 2.90-3.12, 1 Hf 3.11
Hf3 0.8340 0.3340 0.5000  6 Nb 2.90-3.12, 1 Hf 3.11
Hf4 0.3340 0.1660 0.5000  6 Nb 2.90-3.12, 1 Hf 3.11

---

No. 8
Pr3Nd6Er: relaxed, PBE.

Computed properties:
Space-group type ... No. 36
Total moment ... 0.00 μB/f.u.
Energy of formation from the pure elements ... 13 kJ per mole of atoms
Calculated volume ... 35.31 Å³ per atom

abc: 6.5433 11.2048 11.2048
angles: 120.71 90.00 90.00
Last column: nearest neighbours and their distance in Å.
Fractional coordinates of all 20 atoms:
Pr1 0.4637 0.9421 0.7091  1 Er 3.33, 6 Nd 3.36-3.63, 1 Pr 3.69
Pr2 0.9637 0.7091 0.9421  1 Er 3.33, 6 Nd 3.36-3.63, 1 Pr 3.69
Pr3 0.0785 0.3848 0.6152  7 Nd 3.51-3.92, 2 Pr 3.69, 1 Er 3.78
Pr4 0.5785 0.6152 0.3848  7 Nd 3.51-3.92, 2 Pr 3.69, 1 Er 3.78
Pr5 0.9637 0.0579 0.2908  1 Er 3.33, 6 Nd 3.36-3.63, 1 Pr 3.69
Pr6 0.4637 0.2908 0.0579  1 Er 3.33, 6 Nd 3.36-3.63, 1 Pr 3.69
Nd1 0.0573 0.7129 0.6281  3 Pr 3.48-3.61, 5 Nd 3.54-3.87
Nd2 0.5573 0.6281 0.7129  3 Pr 3.48-3.61, 5 Nd 3.54-3.87
Nd3 0.3681 0.5244 0.9420  3 Nd 3.19-3.54, 2 Pr 3.36-3.52, 1 Er 3.38
Nd4 0.8681 0.9420 0.5244  3 Nd 3.19-3.54, 2 Pr 3.36-3.52, 1 Er 3.38
Nd5 0.3642 0.9653 0.0347  1 Er 3.46, 4 Nd 3.54-3.87, 4 Pr 3.58-3.63
Nd6 0.6504 0.2763 0.7237  4 Nd 3.19-3.54, 1 Er 3.46, 1 Pr 3.51
Nd7 0.1504 0.7237 0.2763  4 Nd 3.19-3.54, 1 Er 3.46, 1 Pr 3.51
Nd8 0.8642 0.0347 0.9653  1 Er 3.46, 4 Nd 3.54-3.87, 4 Pr 3.58-3.63
Nd9 0.3681 0.0580 0.4756  3 Nd 3.19-3.54, 2 Pr 3.36-3.52, 1 Er 3.38
Nd10 0.8681 0.4756 0.0580  3 Nd 3.19-3.54, 2 Pr 3.36-3.52, 1 Er 3.38
Nd11 0.0573 0.3719 0.2871  3 Pr 3.48-3.61, 5 Nd 3.54-3.87
Nd12 0.5573 0.2871 0.3719  3 Pr 3.48-3.61, 5 Nd 3.54-3.87
Er1 0.1139 0.1913 0.8087  2 Pr 3.33, 6 Nd 3.38-3.64
Er2 0.6139 0.8087 0.1913  2 Pr 3.33, 6 Nd 3.38-3.64

---

The lowest calculated volume belongs to which entry? BeTcSN2

---

calculated volume of number 1 (PrReSi2Os)? 17.88 Å³ per atom

---

Which value of calculated volume does entry 1 give? 17.88 Å³ per atom